Entry 1:
A crystal of RbTcRu2Br relaxed with PBEsol, computed with meta-GGA SCAN.

Unit cell a=4.5163 b=4.5163 c=6.9214 alpha=90.00 beta=90.00 gamma=90.00
Last column: nearest neighbours and their distance in Å.
Positions (direct):
1 Tc 0.0000 0.0000 0.0000  4 Ru 2.26
2 Br 0.5000 0.5000 0.5000  4 Rb 3.19
3 Ru 0.0000 0.5000 0.0000  2 Tc 2.26
4 Ru 0.5000 0.0000 0.0000  2 Tc 2.26
5 Rb 0.0000 0.0000 0.5000  4 Br 3.19, 2 Tc 3.46

ΔE_f (raw)	1102	meV per atom
E	-27.880	eV per atom
crystal system	tetragonal
SG	P4/mmm, No. 123

Entry 2:
A crystal of RbS3Br relaxed with PBEsol, computed with meta-GGA SCAN.

Unit cell a=6.1031 b=6.1031 c=6.1031 alpha=90.00 beta=90.00 gamma=90.00
Last column: nearest neighbours and their distance in Å.
Positions (direct):
1 S 0.0000 0.5000 0.0000  2 Rb 3.05
2 S 0.5000 0.0000 0.0000  2 Rb 3.05
3 S 0.0000 0.0000 0.5000  2 Rb 3.05
4 Br 0.5000 0.5000 0.5000  12 S 4.32
5 Rb 0.0000 0.0000 0.0000  6 S 3.05

ΔE_f (raw)	1095	meV per atom
E	-12.722	eV per atom
crystal system	cubic
SG	Pm-3m, No. 221

Entry 3:
A crystal of Rb3SbBr6 relaxed with PBEsol, computed with meta-GGA SCAN.

Unit cell a=8.3916 b=8.3916 c=8.3916 alpha=60.00 beta=60.00 gamma=60.00
Last column: nearest neighbours and their distance in Å.
Positions (direct):
1 Br 0.7666 0.2334 0.2334  1 Sb 2.77
2 Br 0.2334 0.7666 0.2334  1 Sb 2.77
3 Br 0.2334 0.7666 0.7666  1 Sb 2.77
4 Br 0.2334 0.2334 0.7666  1 Sb 2.77
5 Br 0.7666 0.2334 0.7666  1 Sb 2.77
6 Br 0.7666 0.7666 0.2334  1 Sb 2.77
7 Rb 0.2500 0.2500 0.2500  12 Br 4.20
8 Rb 0.5000 0.5000 0.5000  6 Br 3.16
9 Rb 0.7500 0.7500 0.7500  12 Br 4.20
10 Sb 0.0000 0.0000 0.0000  6 Br 2.77

ΔE_f (raw)	-1371	meV per atom
E	-22.994	eV per atom
crystal system	cubic
SG	Fm-3m, No. 225

Entry 4:
A crystal of Rb2SbBr relaxed with PBEsol, computed with meta-GGA SCAN.

Unit cell a=6.0505 b=6.0505 c=6.0505 alpha=60.00 beta=60.00 gamma=60.00
Last column: nearest neighbours and their distance in Å.
Positions (direct):
1 Rb 0.2500 0.2500 0.2500  4 Br 3.71, 4 Sb 3.71
2 Rb 0.7500 0.7500 0.7500  4 Sb 3.71, 4 Br 3.71
3 Sb 0.5000 0.5000 0.5000  8 Rb 3.71
4 Br 0.0000 0.0000 0.0000  8 Rb 3.71

ΔE_f (raw)	-735	meV per atom
E	-25.285	eV per atom
crystal system	cubic
SG	Fm-3m, No. 225

Entry 5:
A crystal of RbSbSeBr2 relaxed with PBEsol, computed with meta-GGA SCAN.

Unit cell a=5.3113 b=5.6762 c=5.6762 alpha=90.00 beta=90.00 gamma=90.00
Last column: nearest neighbours and their distance in Å.
Positions (direct):
1 Rb 0.5000 0.5000 0.5000  8 Br 3.89, 4 Se 4.01
2 Sb 0.0000 0.0000 0.0000  2 Se 2.66, 4 Br 2.84
3 Se 0.5000 0.0000 0.0000  2 Sb 2.66
4 Br 0.0000 0.0000 0.5000  2 Sb 2.84
5 Br 0.0000 0.5000 0.0000  2 Sb 2.84

ΔE_f (raw)	-879	meV per atom
E	-24.279	eV per atom
crystal system	tetragonal
SG	P4/mmm, No. 123

Entry 6:
A crystal of RbScBr3 relaxed with PBEsol, computed with meta-GGA SCAN.

Unit cell a=6.0691 b=7.5884 c=7.5884 alpha=120.00 beta=90.00 gamma=90.00
Last column: nearest neighbours and their distance in Å.
Positions (direct):
1 Br 0.2500 0.1705 0.3410  2 Sc 2.71
2 Br 0.7500 0.8295 0.6590  2 Sc 2.71
3 Br 0.7500 0.8295 0.1705  2 Sc 2.71
4 Br 0.7500 0.3410 0.1705  2 Sc 2.71
5 Br 0.2500 0.1705 0.8295  2 Sc 2.71
6 Br 0.2500 0.6590 0.8295  2 Sc 2.71
7 Rb 0.7500 0.3333 0.6667  12 Br 3.71-3.79
8 Rb 0.2500 0.6667 0.3333  12 Br 3.71-3.79
9 Sc 0.5000 0.0000 0.0000  6 Br 2.71
10 Sc 0.0000 0.0000 0.0000  6 Br 2.71

ΔE_f (raw)	-1835	meV per atom
E	-20.505	eV per atom
crystal system	hexagonal
SG	P6_3/mmc, No. 194

Entry 7:
A crystal of Rb2ScTlBr6 relaxed with PBEsol, computed with meta-GGA SCAN.

Unit cell a=8.0611 b=8.0611 c=8.0611 alpha=60.00 beta=60.00 gamma=60.00
Last column: nearest neighbours and their distance in Å.
Positions (direct):
1 Br 0.2299 0.7701 0.7701  1 Sc 2.62
2 Br 0.2299 0.2299 0.7701  1 Sc 2.62
3 Br 0.2299 0.7701 0.2299  1 Sc 2.62
4 Br 0.7701 0.2299 0.7701  1 Sc 2.62
5 Br 0.7701 0.7701 0.2299  1 Sc 2.62
6 Br 0.7701 0.2299 0.2299  1 Sc 2.62
7 Rb 0.7500 0.7500 0.7500  12 Br 4.04
8 Rb 0.2500 0.2500 0.2500  12 Br 4.04
9 Sc 0.0000 0.0000 0.0000  6 Br 2.62
10 Tl 0.5000 0.5000 0.5000  6 Br 3.08

ΔE_f (raw)	-1713	meV per atom
E	-26.196	eV per atom
crystal system	cubic
SG	Fm-3m, No. 225

Entry 8:
A crystal of RbTaSeBr2 relaxed with PBEsol, computed with meta-GGA SCAN.

Unit cell a=4.9700 b=5.2422 c=5.2422 alpha=90.00 beta=90.00 gamma=90.00
Last column: nearest neighbours and their distance in Å.
Positions (direct):
1 Br 0.0000 0.5000 0.0000  2 Ta 2.62
2 Br 0.0000 0.0000 0.5000  2 Ta 2.62
3 Se 0.5000 0.0000 0.0000  2 Ta 2.48
4 Rb 0.5000 0.5000 0.5000  8 Br 3.61, 4 Se 3.71
5 Ta 0.0000 0.0000 0.0000  2 Se 2.48, 4 Br 2.62

ΔE_f (raw)	-828	meV per atom
E	-30.092	eV per atom
crystal system	tetragonal
SG	P4/mmm, No. 123

> E of number 2 (RbS3Br)?

-12.722 eV per atom

> What is the formula in the fourth record?

Rb2SbBr

What did the second record say?
A crystal of RbS3Br relaxed with PBEsol, computed with meta-GGA SCAN.

Unit cell a=6.1031 b=6.1031 c=6.1031 alpha=90.00 beta=90.00 gamma=90.00
Last column: nearest neighbours and their distance in Å.
Positions (direct):
1 S 0.0000 0.5000 0.0000  2 Rb 3.05
2 S 0.5000 0.0000 0.0000  2 Rb 3.05
3 S 0.0000 0.0000 0.5000  2 Rb 3.05
4 Br 0.5000 0.5000 0.5000  12 S 4.32
5 Rb 0.0000 0.0000 0.0000  6 S 3.05

ΔE_f (raw)	1095	meV per atom
E	-12.722	eV per atom
crystal system	cubic
SG	Pm-3m, No. 221

> Which formula does entry 1 have?

RbTcRu2Br